Entry 1:
VASP calculation (GGA-PBE) on an optimized crystal structure of SmYHgPt.

The structure in POSCAR format:
```
SmYHgPt
1.0
0.000 3.642 3.642
3.642 0.000 3.642
3.642 3.642 0.000
Sm Y Hg Pt
1 1 1 1
Direct
0.000 0.000 0.000
0.500 0.500 0.500
0.250 0.250 0.250
0.750 0.750 0.750
```

Summary:
D(E_F) = 0.660 states/eV/atom
Final energy = -5.163 eV per atom
Energy relative to the elements = -0.781 eV/atom
Space-group type = F-43m (216)



Entry 2:
VASP calculation (GGA-PBE) on an optimized crystal structure of Sn4HgPt.

The structure in POSCAR format:
```
Sn4HgPt
1.0
4.509 -7.909 0.000
4.509 7.909 0.000
-3.871 0.000 4.611
Sn Hg Pt
8 2 2
Direct
0.091 0.520 0.775
0.122 0.225 0.109
0.225 0.122 0.609
0.480 0.909 0.725
0.520 0.091 0.275
0.775 0.878 0.391
0.878 0.775 0.891
0.909 0.480 0.225
0.438 0.562 0.750
0.562 0.438 0.250
0.187 0.813 0.250
0.813 0.187 0.750
```

Summary:
D(E_F) = 0.557 states/eV/atom
Final energy = -3.850 eV per atom
Energy relative to the elements = -0.124 eV/atom
Space-group type = C2/c (15)



Entry 3:
VASP calculation (GGA-PBE) on an optimized crystal structure of SnHg2Pt2.

The structure in POSCAR format:
```
SnHg2Pt2
1.0
-1.971 1.971 6.870
1.971 -1.971 6.870
1.971 1.971 -6.870
Sn Hg Pt
1 2 2
Direct
0.000 0.000 0.000
0.250 0.750 0.500
0.750 0.250 0.500
0.405 0.405 0.000
0.595 0.595 0.000
```

Summary:
D(E_F) = 0.401 states/eV/atom
E above lowest polymorph = 121 meV per atom
Final energy = -3.292 eV per atom
Energy relative to the elements = 0.045 eV/atom
Space-group type = I4/mmm (139)



Entry 4:
VASP calculation (GGA-PBE) on an optimized crystal structure of SnHg3Pt.

The structure in POSCAR format:
```
SnHg3Pt
1.0
5.241 0.000 0.000
0.000 5.241 0.000
0.000 0.000 5.241
Sn Hg Pt
1 3 1
Direct
0.000 0.000 0.000
0.000 0.500 0.500
0.500 0.000 0.500
0.500 0.500 0.000
0.500 0.500 0.500
```

Summary:
D(E_F) = 0.577 states/eV/atom
E above lowest polymorph = 0 meV per atom
Final energy = -1.978 eV per atom
Energy relative to the elements = 0.212 eV/atom
Space-group type = Pm-3m (221)



Entry 5:
VASP calculation (GGA-PBE) on an optimized crystal structure of SnHgPt.

The structure in POSCAR format:
```
SnHgPt
1.0
4.577 0.000 0.000
0.000 4.577 0.000
0.000 0.000 6.587
Sn Hg Pt
2 2 2
Direct
0.000 0.000 0.250
0.000 0.000 0.750
0.500 0.500 0.250
0.500 0.500 0.750
0.000 0.500 0.000
0.500 0.000 0.500
```

Summary:
D(E_F) = 0.509 states/eV/atom
E above lowest polymorph = 6 meV per atom
Final energy = -3.681 eV per atom
Energy relative to the elements = -0.232 eV/atom
Space-group type = P4_2/mmc (131)



Entry 6:
VASP calculation (GGA-PBE) on an optimized crystal structure of Sn3HgPt.

The structure in POSCAR format:
```
Sn3HgPt
1.0
5.274 0.000 0.000
0.000 5.274 0.000
0.000 0.000 5.274
Sn Hg Pt
3 1 1
Direct
0.000 0.000 0.500
0.000 0.500 0.000
0.500 0.000 0.000
0.500 0.500 0.500
0.000 0.000 0.000
```

Summary:
D(E_F) = 0.781 states/eV/atom
E above lowest polymorph = 0 meV per atom
Final energy = -3.600 eV per atom
Energy relative to the elements = 0.070 eV/atom
Space-group type = Pm-3m (221)



Entry 7:
VASP calculation (GGA-PBE) on an optimized crystal structure of SnHgPt3.

The structure in POSCAR format:
```
SnHgPt3
1.0
4.962 0.000 0.000
0.000 4.962 0.000
0.000 0.000 4.962
Sn Hg Pt
1 1 3
Direct
0.000 0.000 0.000
0.500 0.500 0.500
0.000 0.000 0.500
0.000 0.500 0.000
0.500 0.000 0.000
```

Summary:
D(E_F) = 0.857 states/eV/atom
E above lowest polymorph = 0 meV per atom
Final energy = -3.680 eV per atom
Energy relative to the elements = 0.806 eV/atom
Space-group type = Pm-3m (221)



Entry 8:
VASP calculation (GGA-PBE) on an optimized crystal structure of SnHg2Pt2.

The structure in POSCAR format:
```
SnHg2Pt2
1.0
7.184 0.000 0.000
0.000 7.184 0.000
0.000 0.000 3.912
Sn Hg Pt
2 4 4
Direct
0.000 0.000 0.000
0.500 0.500 0.000
0.156 0.344 0.500
0.344 0.844 0.500
0.656 0.156 0.500
0.844 0.656 0.500
0.145 0.645 0.000
0.355 0.145 0.000
0.645 0.855 0.000
0.855 0.355 0.000
```

Summary:
D(E_F) = 0.388 states/eV/atom
E above lowest polymorph = 0 meV per atom
Final energy = -3.413 eV per atom
Energy relative to the elements = -0.075 eV/atom
Space-group type = P4/mbm (127)



Entry 9:
VASP calculation (GGA-PBE) on an optimized crystal structure of Sn3HgPt12.

The structure in POSCAR format:
```
Sn3HgPt12
1.0
4.057 0.000 0.000
0.000 4.057 0.000
0.000 0.000 16.267
Sn Hg Pt
3 1 12
Direct
0.000 0.000 0.000
0.000 0.000 0.253
0.000 0.000 0.747
0.000 0.000 0.500
0.000 0.500 0.125
0.000 0.500 0.372
0.000 0.500 0.628
0.000 0.500 0.875
0.500 0.000 0.125
0.500 0.000 0.372
0.500 0.000 0.628
0.500 0.000 0.875
0.500 0.500 0.000
0.500 0.500 0.247
0.500 0.500 0.500
0.500 0.500 0.753
```

Summary:
D(E_F) = 0.788 states/eV/atom
Final energy = -5.594 eV per atom
Energy relative to the elements = -0.294 eV/atom
Space-group type = P4/mmm (123)



Entry 10:
VASP calculation (GGA-PBE) on an optimized crystal structure of SnHg3Pt.

The structure in POSCAR format:
```
SnHg3Pt
1.0
5.458 0.000 0.000
0.000 5.458 0.000
0.000 0.000 5.458
Sn Hg Pt
1 3 1
Direct
0.000 0.000 0.000
0.000 0.000 0.500
0.000 0.500 0.000
0.500 0.000 0.000
0.500 0.500 0.500
```

Summary:
D(E_F) = 1.001 states/eV/atom
E above lowest polymorph = 634 meV per atom
Final energy = -1.343 eV per atom
Energy relative to the elements = 0.846 eV/atom
Space-group type = Pm-3m (221)



Entry 11:
VASP calculation (GGA-PBE) on an optimized crystal structure of Sn12HgPt4.

The structure in POSCAR format:
```
Sn12HgPt4
1.0
-4.784 4.784 4.784
4.784 -4.784 4.784
4.784 4.784 -4.784
Sn Hg Pt
12 1 4
Direct
0.156 0.338 0.494
0.156 0.662 0.818
0.182 0.844 0.338
0.338 0.182 0.844
0.338 0.494 0.156
0.494 0.156 0.338
0.506 0.844 0.662
0.662 0.506 0.844
0.662 0.818 0.156
0.818 0.156 0.662
0.844 0.338 0.182
0.844 0.662 0.506
0.000 0.000 0.000
0.000 0.000 0.500
0.000 0.500 0.000
0.500 0.000 0.000
0.500 0.500 0.500
```

Summary:
D(E_F) = 0.531 states/eV/atom
Final energy = -4.540 eV per atom
Energy relative to the elements = -0.275 eV/atom
Space-group type = Im-3 (204)



Entry 12:
VASP calculation (GGA-PBE) on an optimized crystal structure of Sr2SnHgPt.

The structure in POSCAR format:
```
Sr2SnHgPt
1.0
5.940 0.000 0.000
0.000 5.940 0.000
0.000 0.000 5.040
Sr Sn Hg Pt
2 1 1 1
Direct
0.000 0.500 0.000
0.500 0.000 0.000
0.000 0.000 0.500
0.500 0.500 0.500
0.000 0.000 0.000
```

Summary:
D(E_F) = 0.449 states/eV/atom
Final energy = -3.322 eV per atom
Energy relative to the elements = -0.580 eV/atom
Space-group type = P4/mmm (123)



- Which value of final energy does entry 1 give?
  -5.163 eV per atom



- Which of these has the highest D(E_F)?
  number 10



- Look up the D(E_F) of the third one.
  0.401 states/eV/atom



- D(E_F) of number 12 (Sr2SnHgPt)?
  0.449 states/eV/atom